Crystalline LiAc3Pr2Te6 at its relaxed geometry, computed with PBE-GGA.

The structure in POSCAR format:
```
LiAc3Pr2Te6
1.0
10.0246 -2.3169 0.0000
10.0246 2.3169 0.0000
-1.9507 0.0000 8.9633
Li Ac Pr Te
1 3 2 6
Direct
0.0000 0.0000 0.0000
0.0000 0.0000 0.5000
0.3329 0.3329 0.1648
0.6671 0.6671 0.8352
0.3304 0.3304 0.6573
0.6696 0.6696 0.3427
0.1594 0.1594 0.0908
0.1675 0.1675 0.5809
0.4966 0.4966 0.7664
0.5034 0.5034 0.2336
0.8325 0.8325 0.4191
0.8406 0.8406 0.9092
```

M_tot = 0.000 μB per atom
Energy relative to the elements, uncorrected = -1.44 eV/atom
Electronic total energy = -0.18337 Ha/atom

Crystalline MnCSe2 at its relaxed geometry, computed with PBE-GGA.

The structure in POSCAR format:
```
MnCSe2
1.0
2.0015 1.1556 6.2044
-2.0015 1.1556 6.2044
0.0000 -2.3111 6.2044
Mn C Se
1 1 2
Direct
0.0000 0.0000 0.0000
0.5000 0.5000 0.5000
0.4050 0.4050 0.4050
0.5950 0.5950 0.5950
```

M_tot = 0.899 μB per atom
Energy relative to the elements, uncorrected = 0.84 eV/atom
Electronic total energy = -0.20208 Ha/atom

Crystalline SrTePt2 at its relaxed geometry, computed with PBE-GGA.

The structure in POSCAR format:
```
SrTePt2
1.0
4.3647 0.0000 0.0000
0.0000 4.4035 0.0000
0.0000 0.0000 5.5453
Sr Te Pt
1 1 2
Direct
0.0000 0.0000 0.0000
0.0000 0.5000 0.5000
0.5000 0.5000 0.2336
0.5000 0.5000 0.7664
```

M_tot = 0.000 μB per atom
Polymorph energy (0 for the lowest one) = 60.8 meV per atom
Energy relative to the elements, uncorrected = -0.64 eV/atom
Electronic total energy = -0.17892 Ha/atom